# LaTl2Br PBE relaxed
data_LaTl2Br
_chemical_formula_sum 'La2 Tl4 Br2'
_space_group_name_H-M_alt 'C 1 2/m 1'
_space_group_IT_number 12
_space_group_name_Hall '-C 2y'
_cell_length_a 14.847
_cell_length_b 3.759
_cell_length_c 4.857
_cell_angle_alpha 90.00
_cell_angle_beta 108.90
_cell_angle_gamma 90.00
loop_
_atom_site_label
_atom_site_type_symbol
_atom_site_fract_x
_atom_site_fract_y
_atom_site_fract_z
_atom_site_occupancy
La1 La 0.000 0.000 0.000 1
Tl1 Tl 0.209 0.500 0.210 1
Br1 Br 0.000 0.500 0.500 1
# Total DFT energy (no corrections) ... -27.5 eV/cell
# Calculated density ... 8.13 Mg/m³
# Fermi-level density of states ... 6.3 states/eV per cell
# Excess energy over the best structure of this formula in the dataset ... 0.078 eV per atom

***

# La2TlBr8 PBE relaxed
data_La2TlBr8
_chemical_formula_sum 'La4 Tl2 Br16'
_space_group_name_H-M_alt 'C 1 2/m 1'
_space_group_IT_number 12
_space_group_name_Hall '-C 2y'
_cell_length_a 12.123
_cell_length_b 9.485
_cell_length_c 7.577
_cell_angle_alpha 90.00
_cell_angle_beta 103.23
_cell_angle_gamma 90.00
loop_
_atom_site_label
_atom_site_type_symbol
_atom_site_fract_x
_atom_site_fract_y
_atom_site_fract_z
_atom_site_occupancy
La1 La 0.182 0.000 0.450 1
Tl1 Tl 0.000 0.500 0.000 1
Br1 Br 0.061 0.000 0.748 1
Br2 Br 0.140 0.309 0.319 1
Br3 Br 0.197 0.500 0.843 1
# Total DFT energy (no corrections) ... -85.1 eV/cell
# Calculated density ... 4.39 Mg/m³
# Fermi-level density of states ... 9.3 states/eV per cell

***

# LaTlBr2 PBE relaxed
data_LaTlBr2
_chemical_formula_sum 'La3 Tl3 Br6'
_space_group_name_H-M_alt 'R 3 m'
_space_group_IT_number 160
_space_group_name_Hall 'R 3 -2"'
_cell_length_a 3.9705
_cell_length_b 3.9705
_cell_length_c 30.7342
_cell_angle_alpha 90.00
_cell_angle_beta 90.00
_cell_angle_gamma 120.00
loop_
_atom_site_label
_atom_site_type_symbol
_atom_site_fract_x
_atom_site_fract_y
_atom_site_fract_z
_atom_site_occupancy
La1 La 0.0000 0.0000 0.0000 1
Tl1 Tl 0.0000 0.0000 0.2463 1
Br1 Br 0.0000 0.0000 0.5168 1
Br2 Br 0.0000 0.0000 0.7319 1
# Total DFT energy (no corrections) ... -42.5 eV/cell
# Calculated density ... 5.97 Mg/m³
# Fermi-level density of states ... 7.1 states/eV per cell
# Excess energy over the best structure of this formula in the dataset ... 0.307 eV per atom

***

# La10Tl3Br3 PBE relaxed
data_La10Tl3Br3
_chemical_formula_sum 'La10 Tl3 Br3'
_space_group_name_H-M_alt 'P -6 2 m'
_space_group_IT_number 189
_space_group_name_Hall 'P -6 -2'
_cell_length_a 9.5389
_cell_length_b 9.5389
_cell_length_c 6.5869
_cell_angle_alpha 90.00
_cell_angle_beta 90.00
_cell_angle_gamma 120.00
loop_
_atom_site_label
_atom_site_type_symbol
_atom_site_fract_x
_atom_site_fract_y
_atom_site_fract_z
_atom_site_occupancy
La1 La 0.0000 0.2476 0.0000 1
La2 La 0.0000 0.7499 0.5000 1
La3 La 0.3333 0.6667 0.2525 1
Tl1 Tl 0.0000 0.3886 0.5000 1
Br1 Br 0.0000 0.6330 0.0000 1
# Total DFT energy (no corrections) ... -70.5 eV/cell
# Calculated density ... 7.17 Mg/m³
# Fermi-level density of states ... 19.4 states/eV per cell

***

# La6TlBr8 PBE relaxed
data_La6TlBr8
_chemical_formula_sum 'La18 Tl3 Br24'
_space_group_name_H-M_alt 'R -3'
_space_group_IT_number 148
_space_group_name_Hall '-R 3'
_cell_length_a 7.4212
_cell_length_b 7.4212
_cell_length_c 33.1593
_cell_angle_alpha 90.00
_cell_angle_beta 90.00
_cell_angle_gamma 120.00
loop_
_atom_site_label
_atom_site_type_symbol
_atom_site_fract_x
_atom_site_fract_y
_atom_site_fract_z
_atom_site_occupancy
La1 La 0.0000 0.3436 0.4443 1
Tl1 Tl 0.0000 0.0000 0.5000 1
Br1 Br 0.0000 0.0000 0.1667 1
Br2 Br 0.0001 0.3220 0.6115 1
# Total DFT energy (no corrections) ... -202.6 eV/cell
# Calculated density ... 5.28 Mg/m³
# Fermi-level density of states ... 21.5 states/eV per cell

***

# La2TlBr PBE relaxed
data_La2TlBr
_chemical_formula_sum 'La4 Tl2 Br2'
_space_group_name_H-M_alt 'C 1 2/m 1'
_space_group_IT_number 12
_space_group_name_Hall '-C 2y'
_cell_length_a 8.019
_cell_length_b 4.662
_cell_length_c 7.512
_cell_angle_alpha 90.00
_cell_angle_beta 111.00
_cell_angle_gamma 90.00
loop_
_atom_site_label
_atom_site_type_symbol
_atom_site_fract_x
_atom_site_fract_y
_atom_site_fract_z
_atom_site_occupancy
La1 La 0.250 0.000 0.248 1
Tl1 Tl 0.000 0.000 0.500 1
Br1 Br 0.000 0.500 0.000 1
# Total DFT energy (no corrections) ... -34.4 eV/cell
# Calculated density ... 7.12 Mg/m³
# Fermi-level density of states ... 6.6 states/eV per cell
# Excess energy over the best structure of this formula in the dataset ... 0.038 eV per atom

***

Which energy relative to the elements, uncorrected belongs to each record? In order, -0.60, -1.54, -0.88, -0.57, -1.48, -0.82 eV per atom.